! Eu3Cr5F12 (PBE+U, optimized geometry); values from VASP
&SYSTEM
  ibrav = 0, nat = 80, ntyp = 3
/
ATOMIC_SPECIES
Cr 52.00 Cr.upf
Eu 151.96 Eu.upf
F 19.00 F.upf
ATOMIC_POSITIONS angstrom
Cr 4.9817 2.8181 7.3216
Cr -2.9890 6.3407 3.6608
Cr -1.9927 5.6362 0.0000
Cr 4.9817 -3.5226 8.5419
Cr 2.9890 2.1136 1.2203
Cr 0.9963 -2.8181 7.3216
Cr 1.9927 2.8181 4.8811
Cr 5.9781 0.0000 0.0000
Cr 4.9817 4.9317 3.6608
Cr -0.9963 0.7045 6.1013
Cr 2.9890 8.4543 2.4405
Cr 6.9744 -0.7045 6.1013
Cr -1.9927 -2.8181 4.8811
Cr -0.9963 2.8181 2.4405
Cr 3.9854 5.6362 0.0000
Cr -0.9963 9.1588 1.2203
Cr 3.9854 -2.8181 4.8811
Cr 0.9963 3.5226 8.5419
Cr 0.0000 0.0000 0.0000
Cr -3.9854 2.8181 4.8811
Eu -0.9963 4.9317 6.1013
Eu 8.9671 0.0000 2.4405
Eu 0.9963 5.6362 2.4405
Eu 4.9817 0.7045 3.6608
Eu -2.9890 -2.1136 8.5419
Eu -2.9890 2.1136 8.5419
Eu 6.9744 7.7497 1.2203
Eu 0.9963 -0.7045 3.6608
Eu 2.9890 0.0000 7.3216
Eu 2.9890 6.3407 6.1013
Eu 6.9744 3.5226 1.2203
Eu -4.9817 5.6362 7.3216
F 5.4331 6.2438 5.3982
F 1.6460 -1.4359 8.9376
F -4.7869 3.1128 7.0540
F -1.4477 -0.6076 4.3639
F 8.7722 2.5234 2.7081
F 7.1693 -3.9017 8.4205
F 4.7868 -0.7889 5.7123
F 2.0829 -1.7449 5.7056
F -0.3467 7.0682 0.8313
F -1.1912 3.9017 8.4205
F 2.3394 4.2042 0.8313
F 2.3394 7.0721 0.8245
F 3.8951 1.7449 5.7056
F -3.8951 4.3855 9.2450
F -2.0829 -4.3855 9.2450
F -2.0829 2.6406 6.2228
F 6.5231 -0.6574 2.1729
F -2.5377 6.2936 7.5892
F 5.6313 5.6401 1.6558
F 2.5377 1.2650 3.2253
F -3.4404 5.0286 5.3982
F 4.3321 -1.4320 8.9309
F 2.7942 4.8473 4.0498
F 1.6460 1.4320 8.9309
F -0.8015 6.4251 4.0498
F 6.0683 2.9956 3.5394
F 3.4404 -1.2650 3.2253
F 5.1766 8.7490 2.7081
F -1.1912 -3.1128 7.0540
F -1.6460 -0.0039 8.1064
F -0.3467 4.2003 0.8245
F 0.5450 6.9012 6.5369
F 4.3321 1.4359 8.9376
F -3.1839 9.5379 1.3417
F 1.4477 4.3712 6.5369
F 7.4258 0.6076 4.3639
F -4.3321 0.0039 8.1064
F 1.9024 7.3811 4.0565
F 0.0903 3.8913 4.0565
F -4.0756 8.2768 3.5394
F 8.3175 5.6323 1.6558
F 8.0610 -2.6406 6.2228
F 7.8805 1.2507 0.5171
F 1.1912 0.7889 5.7123
F -0.5450 0.6574 2.1729
F 5.1766 1.7345 1.3417
F 6.0683 10.0217 0.5171
F 4.5304 4.9788 7.5892
CELL_PARAMETERS angstrom
11.9561 0.0000 0.0000
-3.9854 11.2724 0.0000
-3.9854 -5.6362 9.7622
! **Space-group type**: No. 230
! **Mass density**: 4.8 Mg/m³
! **Total energy**: -7.042 eV/atom
! **Crystal system**: cubic
! **Total magnetization**: 180.0 μB per cell
! **DOS at the Fermi energy**: 50.6 states/eV/f.u.